(1)
An optimized crystal structure of Zn7Cu5Au. Source: the Alexandria database, functional GGA-PBE.

Summary:
Electronic total energy   -2.5761 eV per atom
Spin magnetization   0.00 Bohr magnetons per cell
D(E_F)   7.7 states/eV per cell
Formation enthalpy at 0 K   -63 meV/atom
Density   8.75 g cm⁻³

Cell lengths 4.9674, 8.6220, 8.6200 Å; angles 90.00, 90.00, 90.00 degrees
Space group Imm2 (No. 44)
One atom of each set of equivalent atoms:
Zn  0.0000  0.0000  0.0000 x2
Zn  0.0000  0.0000  0.3253 x2
Zn  0.0000  0.3167  0.1403 x4
Zn  0.0000  0.3346  0.6479 x4
Zn  0.0000  0.5000  0.3799 x2
Cu  0.0000  0.5000  0.9031 x2
Cu  0.2489  0.2471  0.8942 x8
Au  0.0000  0.0000  0.6560 x2

=====

(2)
An optimized crystal structure of TmFe2Ge3. Source: the Alexandria database, functional GGA-PBE.

Summary:
Electronic total energy   -6.1862 eV per atom
Spin magnetization   0.00 Bohr magnetons per cell
D(E_F)   18.0 states/eV per cell
Offset from the most stable computed form   0.0000 eV per atom
Formation enthalpy at 0 K   -311 meV/atom
Density   8.60 g cm⁻³

Cell lengths 4.0298, 11.8008, 8.0924 Å; angles 90.00, 90.00, 90.00 degrees
Space group Cmcm (No. 63)
One atom of each set of equivalent atoms:
Tm  0.0000  0.1935  0.2500 x4
Fe  0.0000  0.0000  0.0000 x4
Fe  0.0000  0.4775  0.2500 x4
Ge  0.0000  0.1236  0.7500 x4
Ge  0.0000  0.3840  0.5213 x8

=====

(3)
An optimized crystal structure of LiAc2CuO6. Source: the Alexandria database, functional GGA-PBE.

Summary:
Electronic total energy   -6.5038 eV per atom
Formation energy (no corrections)   -2.106 eV per atom
Spin magnetization   0.00 Bohr magnetons per cell
D(E_F)   16.4 states/eV per cell
Density   8.53 g cm⁻³

Cell lengths 7.8461, 7.8461, 7.8461 Å; angles 90.00, 90.00, 90.00 degrees
Space group Fm-3m (No. 225)
One atom of each set of equivalent atoms:
Li  0.0000  0.0000  0.0000 x4
Ac  0.2500  0.2500  0.2500 x8
Cu  0.0000  0.0000  0.5000 x4
O  0.0000  0.0000  0.2585 x24

=====

(4)
An optimized crystal structure of Zr3TiN4. Source: the Alexandria database, functional GGA-PBE.

Summary:
Electronic total energy   -10.0098 eV per atom
Formation energy (no corrections)   -1.655 eV per atom
Spin magnetization   0.00 Bohr magnetons per cell
D(E_F)   10.0 states/eV per cell
Offset from the most stable computed form   0.0000 eV per atom
Density   6.73 g cm⁻³

Cell lengths 3.2118, 3.2118, 31.3022 Å; angles 90.00, 90.00, 120.00 degrees
Space group R-3m (No. 166, hexagonal axes)
One atom of each set of equivalent atoms:
Zr  0.0000  0.0000  0.0000 x3
Zr  0.0000  0.0000  0.2468 x6
Ti  0.0000  0.0000  0.5000 x3
N  0.0000  0.0000  0.1291 x6
N  0.0000  0.0000  0.3767 x6

=====

(5)
An optimized crystal structure of PrY12Tm5. Source: the Alexandria database, functional GGA-PBE.

Summary:
Electronic total energy   -5.8010 eV per atom
Spin magnetization   0.00 Bohr magnetons per cell
D(E_F)   53.0 states/eV per cell
Formation enthalpy at 0 K   16 meV/atom
Density   5.96 g cm⁻³

Cell lengths 6.1784, 10.7022, 17.4236 Å; angles 90.00, 96.79, 90.00 degrees
Space group C2/m (No. 12)
One atom of each set of equivalent atoms:
Pr  0.0000  0.0000  0.0000 x2
Y  0.1116  0.0000  0.3340 x4
Y  0.1118  0.3334  0.3342 x8
Y  0.2204  0.5000  0.1669 x4
Y  0.2228  0.1675  0.1669 x8
Tm  0.0000  0.1664  0.5000 x4
Tm  0.0000  0.3333  0.0000 x4
Tm  0.0000  0.5000  0.5000 x2

=====

(6)
An optimized crystal structure of TeAsW2. Source: the Alexandria database, functional GGA-PBE.

Summary:
Electronic total energy   -7.4354 eV per atom
Formation energy (no corrections)   0.989 eV per atom
Spin magnetization   0.00 Bohr magnetons per cell
D(E_F)   3.3 states/eV per cell
Offset from the most stable computed form   0.8056 eV per atom
Density   12.99 g cm⁻³

Cell lengths 3.2362, 4.3196, 5.2149 Å; angles 90.00, 90.00, 90.00 degrees
Space group Pmmm (No. 47)
One atom of each set of equivalent atoms:
Te  0.0000  0.0000  0.0000 x1
As  0.5000  0.0000  0.5000 x1
W  0.0000  0.5000  0.5000 x1
W  0.5000  0.5000  0.0000 x1